The following is a PBE-GGA calculation of TcNi2Te after structural relaxation, from Alexandria.

E_form (uncorrected): 0.211 eV/atom
Calculated volume: 14.3 Å³ per atom
Total magnetization: 0.00 μB/f.u.
E_tot: -48.45 eV/cell
N(E_F): 1.07 states/eV/atom

Geometry as CIF:
```
data_TcNi2Te
_symmetry_space_group_name_H-M 'I -4 m 2'
_symmetry_Int_Tables_number 119
_symmetry_space_group_name_Hall 'I -4 -2'
_cell_length_a 4.014
_cell_length_b 4.014
_cell_length_c 7.085
_cell_angle_alpha 90.00
_cell_angle_beta 90.00
_cell_angle_gamma 90.00
loop_
_atom_site_label
_atom_site_type_symbol
_atom_site_fract_x
_atom_site_fract_y
_atom_site_fract_z
Tc1 Tc 0.000 0.000 0.000
Ni1 Ni 0.000 0.000 0.500
Ni2 Ni 0.000 0.500 0.750
Te1 Te 0.000 0.500 0.250
```